[1]
# MgAlRe

MgAlRe after structural relaxation (PBE-GGA, Alexandria via LeMat-Bulk).

Geometry as POSCAR:
```
MgAlRe
1.0
3.047 0.000 0.000
0.000 3.047 0.000
0.000 0.000 10.956
Mg Al Re
2 2 2
direct
0.250 0.250 0.106
0.750 0.750 0.894
0.250 0.250 0.712
0.750 0.750 0.288
0.250 0.250 0.427
0.750 0.750 0.573
```

Values from the calculation:
Formation enthalpy at 0 K in eV/atom: -0.08
M_tot in μB/atom: 0.000
N(E_F) in states/eV/f.u.: 1.31
Calculated volume in Å³ per cell: 101.73
SG: P4/nmm (129)
Raw total energy in eV per atom: -6.01
Energy relative to the lowest polymorph listed for this composition in meV per atom: 0

=====

[2]
# MgAl2Re

MgAl2Re after structural relaxation (PBE-GGA, Alexandria via LeMat-Bulk).

Geometry as POSCAR:
```
MgAl2Re
1.0
2.852 0.000 0.000
0.000 2.852 0.000
0.000 0.000 8.252
Mg Al Re
1 2 1
direct
0.000 0.000 0.000
0.500 0.500 0.283
0.500 0.500 0.717
0.000 0.000 0.500
```

Values from the calculation:
Formation enthalpy at 0 K in eV/atom: 0.02
M_tot in μB/atom: 0.000
N(E_F) in states/eV/f.u.: 2.29
Calculated volume in Å³ per cell: 67.13
SG: P4/mmm (123)
Raw total energy in eV per atom: -5.36

=====

[3]
# Mg2AlRe

Mg2AlRe after structural relaxation (PBE-GGA, Alexandria via LeMat-Bulk).

Geometry as POSCAR:
```
Mg2AlRe
1.0
3.573 0.000 0.000
0.000 4.178 0.000
0.000 0.000 4.418
Mg Al Re
2 1 1
direct
0.000 0.000 0.000
0.500 0.500 0.000
0.000 0.500 0.500
0.500 0.000 0.500
```

Values from the calculation:
Formation enthalpy at 0 K in eV/atom: 0.21
M_tot in μB/atom: 0.000
N(E_F) in states/eV/f.u.: 3.41
Calculated volume in Å³ per cell: 65.95
SG: Pmmm (47)
Raw total energy in eV per atom: -4.64

=====

[4]
# Mg2AlRe

Mg2AlRe after structural relaxation (PBE-GGA, Alexandria via LeMat-Bulk).

Geometry as POSCAR:
```
Mg2AlRe
1.0
4.939 -1.383 0.000
4.939 1.383 0.000
-0.499 0.000 4.912
Mg Al Re
2 1 1
direct
0.243 0.243 0.241
0.757 0.757 0.759
0.000 0.000 0.500
0.500 0.500 0.000
```

Values from the calculation:
Formation enthalpy at 0 K in eV/atom: 0.17
M_tot in μB/atom: 0.000
N(E_F) in states/eV/f.u.: 1.59
Calculated volume in Å³ per cell: 67.11
SG: C2/m (12)
Raw total energy in eV per atom: -4.67

=====

What is the calculated volume in the third record? 65.95 Å³ per cell

=====

Which formula does entry 2 have? MgAl2Re

=====

Look up the formation enthalpy at 0 K of the fourth one. 0.17 eV/atom